Entry 1:
This record from Alexandria via LeMat-Bulk describes a relaxed structure of CsTa3Br. The functional is PBE.

Lattice parameters (Å, degrees): 5.1363 5.1363 5.1363 90.00 90.00 90.00
Last column: nearest neighbours and their distance in Å.
Sites, in units of the cell vectors:
Cs 0.0000 0.0000 0.0000  6 Ta 2.57
Br 0.5000 0.5000 0.5000  12 Ta 3.63
Ta 0.0000 0.5000 0.0000  2 Cs 2.57
Ta 0.0000 0.0000 0.5000  2 Cs 2.57
Ta 0.5000 0.0000 0.0000  2 Cs 2.57

Results
- E_form (uncorrected): 3.326 eV/atom
- Excess energy over the best structure of this formula in the dataset: 6.31 eV per formula unit
- Uncorrected energy: -4.29 eV per atom
- Space group: Pm-3m, No. 221
- ρ: 9.3 g cm⁻³

=====

Entry 2:
This record from Alexandria via LeMat-Bulk describes a relaxed structure of TaTlP3. The functional is PBE.

Lattice parameters (Å, degrees): 4.8878 4.8878 4.8878 90.00 90.00 90.00
Last column: nearest neighbours and their distance in Å.
Sites, in units of the cell vectors:
P 0.0000 0.5000 0.0000  2 Tl 2.44
P 0.0000 0.0000 0.5000  2 Tl 2.44
P 0.5000 0.0000 0.0000  2 Tl 2.44
Tl 0.0000 0.0000 0.0000  6 P 2.44
Ta 0.5000 0.5000 0.5000  12 P 3.46

Results
- Excess energy over the best structure of this formula in the dataset: 8.79 eV per formula unit
- Uncorrected energy: -4.14 eV per atom
- DFT formation energy: 1949 meV/atom
- Space group: Pm-3m, No. 221
- ρ: 6.8 g cm⁻³